Compound: VHRh2
Source: Alexandria
Functional: PBE
Structure: relaxed

a b c (Å): 2.784 2.784 7.504
angles (deg): 79.31 79.31 60.00
Fractional positions:
H 0.000 0.000 0.000
Rh 0.078 0.078 0.767
Rh 0.922 0.922 0.233
V 0.500 0.500 0.500

E above lowest polymorph	0.237	eV/atom
magnetization	0.00	μB per cell
DOS(E_F)	2.78	states/eV/cell
electronic total energy	-27.3	eV/cell
calculated density	8.7	g cm⁻³

Compound: SnAuSe4
Source: Alexandria
Functional: PBE
Structure: relaxed

a b c (Å): 3.955 6.822 10.532
angles (deg): 88.68 90.00 90.00
Fractional positions:
Sn 0.000 0.000 0.500
Sn 0.500 0.500 0.000
Au 0.500 0.500 0.500
Au 0.000 0.000 0.000
Se 0.500 0.196 0.368
Se 0.000 0.304 0.132
Se 0.500 0.804 0.632
Se 0.000 0.696 0.868
Se 0.999 0.677 0.343
Se 0.499 0.823 0.157
Se 0.001 0.323 0.657
Se 0.501 0.177 0.843

ΔE_f (raw)	-134	meV/atom
magnetization	0.00	μB per cell
DOS(E_F)	3.40	states/eV/cell
electronic total energy	-44.0	eV/cell
calculated density	7.4	g cm⁻³